[1]
This record from the Alexandria database describes a geometry-optimized TmNp2Pt9 structure. The functional is PBE-GGA.

Geometry as POSCAR:
```
TmNp2Pt9
1.0
-3.278 -2.005 -1.510
0.494 -2.951 2.845
-7.404 6.251 7.771
Tm Np Pt
1 2 9
direct
0.000 0.000 0.000 Tm
0.000 0.000 0.331 Np
0.000 0.000 0.669 Np
0.000 0.500 0.166 Pt
0.500 0.500 0.332 Pt
0.500 0.500 0.668 Pt
0.500 0.000 0.166 Pt
0.500 0.000 0.500 Pt
0.000 0.500 0.834 Pt
0.000 0.500 0.500 Pt
0.500 0.000 0.834 Pt
0.500 0.500 0.000 Pt
```

Output
Size of the total moment: 6.1 Bohr magnetons per cell
Electronic total energy: -7.836 eV/atom
V: 17.647 Å³/atom

***

[2]
This record from the Alexandria database describes a geometry-optimized TmNpPt2 structure. The functional is PBE-GGA.

Geometry as POSCAR:
```
TmNpPt2
1.0
-0.586 1.849 -4.519
-0.344 -3.019 -3.867
-4.296 -0.527 -2.334
Pt Tm Np
2 1 1
direct
0.750 0.750 0.750 Pt
0.250 0.250 0.250 Pt
0.500 0.500 0.500 Tm
0.000 0.000 0.000 Np
```

Output
Size of the total moment: 4.1 Bohr magnetons per cell
Electronic total energy: -8.167 eV/atom
V: 21.027 Å³/atom

***

[3]
This record from the Alexandria database describes a geometry-optimized TmNpPt2 structure. The functional is PBE-GGA.

Geometry as POSCAR:
```
TmNpPt2
1.0
3.358 0.000 0.000
0.000 4.991 0.000
0.000 0.000 4.991
Pt Np Tm
2 1 1
direct
0.000 0.500 0.000 Pt
0.000 0.000 0.500 Pt
0.500 0.500 0.500 Np
0.500 0.000 0.000 Tm
```

Output
Size of the total moment: 4.0 Bohr magnetons per cell
Electronic total energy: -8.202 eV/atom
V: 20.909 Å³/atom

***

[4]
This record from the Alexandria database describes a geometry-optimized Tm3NpPt12 structure. The functional is PBE-GGA.

Geometry as POSCAR:
```
Tm3NpPt12
1.0
-2.921 -2.799 -0.693
2.116 -1.411 -3.221
7.837 -10.602 9.794
Pt Tm Np
12 3 1
direct
0.000 0.500 0.125 Pt
0.500 0.500 0.000 Pt
0.500 0.500 0.252 Pt
0.000 0.500 0.875 Pt
0.500 0.000 0.875 Pt
0.500 0.500 0.500 Pt
0.500 0.000 0.125 Pt
0.500 0.500 0.748 Pt
0.000 0.500 0.376 Pt
0.500 0.000 0.376 Pt
0.500 0.000 0.624 Pt
0.000 0.500 0.624 Pt
0.000 0.000 0.500 Tm
0.000 0.000 0.746 Tm
0.000 0.000 0.254 Tm
0.000 0.000 0.000 Np
```

Output
Size of the total moment: 2.6 Bohr magnetons per cell
Electronic total energy: -7.153 eV/atom
V: 17.293 Å³/atom

***

[5]
This record from the Alexandria database describes a geometry-optimized NpUPt6 structure. The functional is PBE-GGA.

Geometry as POSCAR:
```
NpUPt6
1.0
-0.800 2.476 3.976
1.400 -4.180 2.885
5.469 1.813 -0.028
Pt U Np
6 1 1
direct
0.000 0.683 0.500 Pt
0.000 0.165 0.750 Pt
0.500 0.310 0.000 Pt
0.500 0.838 0.255 Pt
0.500 0.838 0.745 Pt
0.000 0.165 0.250 Pt
0.500 0.345 0.500 U
0.000 0.657 0.000 Np
```

Output
Size of the total moment: 4.4 Bohr magnetons per cell
Electronic total energy: -8.185 eV/atom
V: 18.031 Å³/atom

***

[6]
This record from the Alexandria database describes a geometry-optimized NpU2Pt9 structure. The functional is PBE-GGA.

Geometry as POSCAR:
```
NpU2Pt9
1.0
4.161 0.000 0.000
0.000 4.161 0.000
0.000 0.000 12.479
Pt U Np
9 2 1
direct
0.500 0.500 0.666 Pt
0.500 0.000 0.169 Pt
0.500 0.000 0.831 Pt
0.000 0.500 0.500 Pt
0.500 0.500 0.000 Pt
0.000 0.500 0.831 Pt
0.500 0.000 0.500 Pt
0.000 0.500 0.169 Pt
0.500 0.500 0.334 Pt
0.000 0.000 0.333 U
0.000 0.000 0.667 U
0.000 0.000 0.000 Np
```

Output
Size of the total moment: 7.2 Bohr magnetons per cell
Electronic total energy: -8.175 eV/atom
V: 18.007 Å³/atom

***

[7]
This record from the Alexandria database describes a geometry-optimized NpVPt6 structure. The functional is PBE-GGA.

Geometry as POSCAR:
```
NpVPt6
1.0
-0.213 0.815 3.949
-1.355 -3.739 0.698
7.635 -2.590 0.946
Np Pt V
1 6 1
direct
0.000 0.000 0.000 Np
0.000 0.500 0.266 Pt
0.000 0.500 0.734 Pt
0.500 0.000 0.266 Pt
0.500 0.500 0.500 Pt
0.500 0.500 0.000 Pt
0.500 0.000 0.734 Pt
0.000 0.000 0.500 V
```

Output
Size of the total moment: 4.5 Bohr magnetons per cell
Electronic total energy: -7.779 eV/atom
V: 16.540 Å³/atom

***

[8]
This record from the Alexandria database describes a geometry-optimized NpV2Pt structure. The functional is PBE-GGA.

Geometry as POSCAR:
```
NpV2Pt
1.0
2.817 0.000 0.000
0.000 4.686 0.000
0.000 0.000 4.686
V Pt Np
2 1 1
direct
0.000 0.000 0.500 V
0.000 0.500 0.000 V
0.500 0.000 0.000 Pt
0.500 0.500 0.500 Np
```

Output
Size of the total moment: 1.8 Bohr magnetons per cell
Electronic total energy: -9.394 eV/atom
V: 15.467 Å³/atom

***

[9]
This record from the Alexandria database describes a geometry-optimized Np2VPt9 structure. The functional is PBE-GGA.

Geometry as POSCAR:
```
Np2VPt9
1.0
-0.616 3.931 0.895
-3.961 -0.421 -0.877
-2.265 -3.012 11.676
Pt Np V
9 2 1
direct
0.500 0.000 0.500 Pt
0.500 0.500 0.674 Pt
0.500 0.500 0.000 Pt
0.000 0.500 0.153 Pt
0.500 0.500 0.326 Pt
0.500 0.000 0.847 Pt
0.000 0.500 0.847 Pt
0.500 0.000 0.153 Pt
0.000 0.500 0.500 Pt
0.000 0.000 0.327 Np
0.000 0.000 0.673 Np
0.000 0.000 0.000 V
```

Output
Size of the total moment: 7.7 Bohr magnetons per cell
Electronic total energy: -7.972 eV/atom
V: 17.009 Å³/atom

***

[10]
This record from the Alexandria database describes a geometry-optimized NpV2Pt structure. The functional is PBE-GGA.

Geometry as POSCAR:
```
NpV2Pt
1.0
-3.098 0.458 -0.728
0.175 -2.330 -2.208
-1.580 -4.066 4.165
Pt V Np
1 2 1
direct
0.500 0.500 0.500 Pt
0.000 0.000 0.235 V
0.000 0.000 0.765 V
0.500 0.500 0.000 Np
```

Output
Size of the total moment: 2.0 Bohr magnetons per cell
Electronic total energy: -9.250 eV/atom
V: 15.584 Å³/atom

***

[11]
This record from the Alexandria database describes a geometry-optimized YNp2Pt9 structure. The functional is PBE-GGA.

Geometry as POSCAR:
```
YNp2Pt9
1.0
-3.202 3.538 2.493
-4.907 -1.496 1.635
0.676 -1.805 9.244
Pt Np Y
9 2 1
direct
0.082 0.587 0.744 Pt
0.500 0.500 0.500 Pt
0.413 0.918 0.256 Pt
0.667 0.667 0.999 Pt
0.587 0.587 0.744 Pt
0.413 0.413 0.256 Pt
0.587 0.082 0.744 Pt
0.333 0.333 0.001 Pt
0.918 0.413 0.256 Pt
0.142 0.142 0.574 Np
0.858 0.858 0.426 Np
0.000 0.000 0.000 Y
```

Output
Size of the total moment: 7.2 Bohr magnetons per cell
Electronic total energy: -7.906 eV/atom
V: 18.654 Å³/atom

***

[12]
This record from the Alexandria database describes a geometry-optimized YNpPt2 structure. The functional is PBE-GGA.

Geometry as POSCAR:
```
YNpPt2
1.0
4.106 0.000 0.000
2.053 3.556 0.000
2.053 1.185 6.528
Pt Np Y
2 1 1
direct
0.255 0.255 0.236 Pt
0.745 0.745 0.764 Pt
0.000 0.000 0.000 Np
0.500 0.500 0.500 Y
```

Output
Size of the total moment: 3.6 Bohr magnetons per cell
Electronic total energy: -8.618 eV/atom
V: 23.825 Å³/atom

***

size of the total moment of number 6 (NpU2Pt9)?
7.2 Bohr magnetons per cell